A plane-wave DFT calculation with PBE+U was carried out for a relaxed GaFeO3 crystal.

Calculated values
SG: Pm-3m
Electronic total energy in eV/atom: -5.452

Unit cell a=3.7888 b=3.7888 c=3.7888 alpha=90.00 beta=90.00 gamma=90.00
Sites, in units of the cell vectors:
Ga  0.0000  0.0000  0.0000
Fe  0.5000  0.5000  0.5000
O  0.0000  0.0000  0.5000
O  0.0000  0.5000  0.0000
O  0.5000  0.0000  0.0000